16
Lattice="7.643 0.000 -3.608 -1.703 7.451 -3.608 -0.635 -0.796 8.555" Properties=species:S:1:pos:R:3 comment="Sm5Zn2Cd, optimized geometry, DFT PBE-GGA" space_group="I4/mcm, No. 140" crystal_system=tetragonal delta_e_f_ev_per_atom=-0.211 pbc="T T T"
Cd 4.138 5.190 -1.134
Cd 1.168 1.465 2.473
Sm 3.086 1.983 -0.362
Sm 4.215 7.176 -3.969
Sm 2.970 3.725 -3.608
Sm 1.090 -0.521 5.309
Sm 4.576 0.946 2.794
Sm 0.729 5.708 -1.455
Sm -1.267 3.204 4.215
Sm 6.572 3.451 -2.876
Sm 2.219 4.672 1.701
Sm 0.000 0.000 0.000
Zn 0.490 2.656 -1.804
Zn 5.449 4.795 -5.412
Zn 4.674 1.070 -2.840
Zn 1.265 6.381 -4.376